! Sr2I2Cl | the Alexandria database | PBE | relaxed; values from VASP
! SG	P4/mbm (127)
! energy relative to the elements, uncorrected	-8.0	eV per formula unit
&SYSTEM
  ibrav = 0, nat = 10, ntyp = 3
/
ATOMIC_SPECIES
I 126.90 I.upf
Sr 87.62 Sr.upf
Cl 35.45 Cl.upf
CELL_PARAMETERS angstrom
-2.7156 7.8865 0.9289
-6.5417 -1.6651 -4.9868
-2.7798 -1.4435 4.1285
ATOMIC_POSITIONS crystal
I 0.1554 0.6554 0.5000
I 0.6554 0.8446 0.5000
I 0.8446 0.3446 0.5000
I 0.3446 0.1554 0.5000
Sr 0.3313 0.8313 0.0000
Sr 0.8313 0.6687 0.0000
Sr 0.6687 0.1687 0.0000
Sr 0.1687 0.3313 0.0000
Cl 0.0000 0.0000 0.0000
Cl 0.5000 0.5000 0.0000

! SrICl | the Alexandria database | PBE | relaxed; values from VASP
! distance to the lowest polymorph of the same formula	0.62	eV/f.u.
! SG	I4mm (107)
! energy relative to the elements, uncorrected	-5.6	eV per formula unit
&SYSTEM
  ibrav = 0, nat = 3, ntyp = 3
/
ATOMIC_SPECIES
I 126.90 I.upf
Sr 87.62 Sr.upf
Cl 35.45 Cl.upf
CELL_PARAMETERS angstrom
3.9519 0.0000 0.0000
0.0000 3.9519 0.0000
-1.9759 -1.9759 6.8454
ATOMIC_POSITIONS crystal
I 0.0324 0.0324 0.0647
Sr 0.6818 0.6818 0.3636
Cl 0.2858 0.2858 0.5717

! SrI3Cl9 | the Alexandria database | PBE | relaxed; values from VASP
! SG	Cc (9)
! energy relative to the elements, uncorrected	-8.6	eV per formula unit
&SYSTEM
  ibrav = 0, nat = 26, ntyp = 3
/
ATOMIC_SPECIES
Sr 87.62 Sr.upf
I 126.90 I.upf
Cl 35.45 Cl.upf
CELL_PARAMETERS angstrom
-3.8277 -8.9042 3.6182
4.0350 -5.1151 6.4710
-4.7765 1.8158 14.2059
ATOMIC_POSITIONS crystal
Sr 0.0268 0.4869 0.0214
Sr 0.4649 0.9869 0.5214
I 0.7362 0.4897 0.8264
I 0.9477 0.9897 0.3264
I 0.1183 0.8753 0.7579
I 0.2485 0.3753 0.2579
I 0.4164 0.3126 0.7117
I 0.5593 0.8126 0.2117
Cl 0.5355 0.1979 0.2935
Cl 0.9731 0.6979 0.7935
Cl 0.3567 0.3141 0.8868
Cl 0.4424 0.8141 0.3868
Cl 0.2005 0.8706 0.5805
Cl 0.3483 0.3706 0.0805
Cl 0.6786 0.8067 0.0375
Cl 0.4773 0.3067 0.5375
Cl 0.8061 0.8443 0.4839
Cl 0.8657 0.3443 0.9839
Cl 0.2551 0.0611 0.7145
Cl 0.9693 0.5611 0.2145
Cl 0.5595 0.5328 0.2540
Cl 0.6537 0.0328 0.7540
Cl 0.6000 0.6132 0.6701
Cl 0.1167 0.1132 0.1701
Cl 0.0430 0.8522 0.9397
Cl 0.1651 0.3522 0.4397

! SrICl | the Alexandria database | PBE | relaxed; values from VASP
! distance to the lowest polymorph of the same formula	0.00	eV/f.u.
! SG	P2_1/m (11)
! energy relative to the elements, uncorrected	-6.3	eV per formula unit
&SYSTEM
  ibrav = 0, nat = 6, ntyp = 3
/
ATOMIC_SPECIES
I 126.90 I.upf
Sr 87.62 Sr.upf
Cl 35.45 Cl.upf
CELL_PARAMETERS angstrom
-6.0606 1.7642 1.4847
-0.9910 -4.5083 1.3116
4.6255 0.8610 6.4547
ATOMIC_POSITIONS crystal
I 0.2799 0.2500 0.0878
I 0.7201 0.7500 0.9122
Sr 0.8416 0.2500 0.2404
Sr 0.1584 0.7500 0.7596
Cl 0.2153 0.2500 0.5733
Cl 0.7847 0.7500 0.4267

! SrICl | the Alexandria database | PBE | relaxed; values from VASP
! distance to the lowest polymorph of the same formula	0.07	eV/f.u.
! SG	Cc (9)
! energy relative to the elements, uncorrected	-6.2	eV per formula unit
&SYSTEM
  ibrav = 0, nat = 12, ntyp = 3
/
ATOMIC_SPECIES
I 126.90 I.upf
Sr 87.62 Sr.upf
Cl 35.45 Cl.upf
CELL_PARAMETERS angstrom
-7.0778 5.8525 -2.6941
-5.0995 -5.1015 2.3149
3.3313 -0.2149 6.8652
ATOMIC_POSITIONS crystal
I 0.6523 0.5599 0.4817
I 0.1523 0.4401 0.9817
I 0.6523 0.0599 0.9817
I 0.1523 0.9401 0.4817
Sr 0.3664 0.8075 0.0056
Sr 0.8664 0.1925 0.5056
Sr 0.3664 0.3075 0.5056
Sr 0.8664 0.6925 0.0056
Cl 0.5266 0.0576 0.3756
Cl 0.0266 0.9424 0.8756
Cl 0.5266 0.5576 0.8756
Cl 0.0266 0.4424 0.3756

! SrICl | the Alexandria database | PBE | relaxed; values from VASP
! distance to the lowest polymorph of the same formula	0.06	eV/f.u.
! SG	P3m1 (156)
! energy relative to the elements, uncorrected	-6.2	eV per formula unit
&SYSTEM
  ibrav = 0, nat = 3, ntyp = 3
/
ATOMIC_SPECIES
I 126.90 I.upf
Sr 87.62 Sr.upf
Cl 35.45 Cl.upf
CELL_PARAMETERS angstrom
-1.1650 -5.7550 3.6336
3.1647 1.3253 3.1136
-4.4336 1.2345 0.5338
ATOMIC_POSITIONS crystal
I 0.7528 0.6667 0.3333
Sr 0.0345 0.0000 0.0000
Cl 0.2127 0.3333 0.6667

! SrICl | the Alexandria database | PBE | relaxed; values from VASP
! distance to the lowest polymorph of the same formula	0.04	eV/f.u.
! SG	Pmn2_1 (31)
! energy relative to the elements, uncorrected	-6.2	eV per formula unit
&SYSTEM
  ibrav = 0, nat = 6, ntyp = 3
/
ATOMIC_SPECIES
I 126.90 I.upf
Sr 87.62 Sr.upf
Cl 35.45 Cl.upf
CELL_PARAMETERS angstrom
-3.9790 -2.1155 -1.9170
-1.2977 -2.6218 5.5869
-4.0636 5.9628 1.8543
ATOMIC_POSITIONS crystal
I 0.0000 0.3433 0.6085
I 0.5000 0.6567 0.1085
Sr 0.0000 0.8262 0.8239
Sr 0.5000 0.1738 0.3239
Cl 0.0000 0.1383 0.1129
Cl 0.5000 0.8617 0.6129

! SrICl3 | the Alexandria database | PBE | relaxed; values from VASP
! distance to the lowest polymorph of the same formula	2.54	eV/f.u.
! SG	Pm-3m (221)
! energy relative to the elements, uncorrected	-3.1	eV per formula unit
&SYSTEM
  ibrav = 0, nat = 5, ntyp = 3
/
ATOMIC_SPECIES
I 126.90 I.upf
Sr 87.62 Sr.upf
Cl 35.45 Cl.upf
CELL_PARAMETERS angstrom
5.7532 0.0000 0.0000
0.0000 5.7532 0.0000
0.0000 0.0000 5.7532
ATOMIC_POSITIONS crystal
I 0.0000 0.0000 0.0000
Sr 0.5000 0.5000 0.5000
Cl 0.0000 0.5000 0.0000
Cl 0.0000 0.0000 0.5000
Cl 0.5000 0.0000 0.0000

! SrICl | the Alexandria database | PBE | relaxed; values from VASP
! distance to the lowest polymorph of the same formula	0.04	eV/f.u.
! SG	P2/m (10)
! energy relative to the elements, uncorrected	-6.2	eV per formula unit
&SYSTEM
  ibrav = 0, nat = 6, ntyp = 3
/
ATOMIC_SPECIES
I 126.90 I.upf
Sr 87.62 Sr.upf
Cl 35.45 Cl.upf
CELL_PARAMETERS angstrom
7.3326 0.0000 -0.0001
0.0000 4.6124 0.0000
-1.8901 0.0000 7.7932
ATOMIC_POSITIONS crystal
I 0.2247 0.0000 0.7779
I 0.7753 0.0000 0.2221
Sr 0.5000 0.0000 0.5000
Sr 0.5000 0.5000 0.0000
Cl 0.6734 0.5000 0.7083
Cl 0.3266 0.5000 0.2917

! SrICl | the Alexandria database | PBE | relaxed; values from VASP
! distance to the lowest polymorph of the same formula	0.06	eV/f.u.
! SG	Pm (6)
! energy relative to the elements, uncorrected	-6.2	eV per formula unit
&SYSTEM
  ibrav = 0, nat = 6, ntyp = 3
/
ATOMIC_SPECIES
I 126.90 I.upf
Sr 87.62 Sr.upf
Cl 35.45 Cl.upf
CELL_PARAMETERS angstrom
-4.6542 -5.4204 1.6161
1.1055 0.4072 4.5495
-4.4950 5.7637 0.5764
ATOMIC_POSITIONS crystal
I 0.5521 0.0000 0.4414
I 0.1430 0.0000 0.8445
Sr 0.3488 0.5000 0.6443
Sr 0.8490 0.0000 0.1444
Cl 0.6571 0.5000 0.9552
Cl 0.0405 0.5000 0.3331

! SrICl | the Alexandria database | PBE | relaxed; values from VASP
! distance to the lowest polymorph of the same formula	0.28	eV/f.u.
! SG	F-43m (216)
! energy relative to the elements, uncorrected	-6.0	eV per formula unit
&SYSTEM
  ibrav = 0, nat = 3, ntyp = 3
/
ATOMIC_SPECIES
I 126.90 I.upf
Sr 87.62 Sr.upf
Cl 35.45 Cl.upf
CELL_PARAMETERS angstrom
-3.4270 0.8650 -4.0694
-1.5090 -4.0910 -3.1685
-5.0367 -1.9005 0.2680
ATOMIC_POSITIONS crystal
I 0.5000 0.5000 0.5000
Sr 0.2500 0.2500 0.2500
Cl 0.0000 0.0000 0.0000

! Sr4I3Cl4 | the Alexandria database | PBE | relaxed; values from VASP
! SG	Immm (71)
! energy relative to the elements, uncorrected	-21.8	eV per formula unit
&SYSTEM
  ibrav = 0, nat = 11, ntyp = 3
/
ATOMIC_SPECIES
Sr 87.62 Sr.upf
I 126.90 I.upf
Cl 35.45 Cl.upf
CELL_PARAMETERS angstrom
4.4786 0.0000 0.0000
0.0000 9.2177 0.0000
-2.2393 -4.6089 8.3898
ATOMIC_POSITIONS crystal
Sr 0.2322 0.7322 0.4644
Sr 0.7678 0.2678 0.5356
Sr 0.5000 0.7752 0.0000
Sr 0.5000 0.2248 0.0000
I 0.1087 0.1087 0.2174
I 0.8913 0.8913 0.7826
I 0.0000 0.5000 0.0000
Cl 0.3267 0.1360 0.6534
Cl 0.6733 0.4827 0.3466
Cl 0.6733 0.8640 0.3466
Cl 0.3267 0.5173 0.6534

! Sr2ICl | the Alexandria database | PBE | relaxed; values from VASP
! distance to the lowest polymorph of the same formula	1.22	eV/f.u.
! SG	Fm-3m (225)
! energy relative to the elements, uncorrected	-4.3	eV per formula unit
&SYSTEM
  ibrav = 0, nat = 4, ntyp = 3
/
ATOMIC_SPECIES
I 126.90 I.upf
Sr 87.62 Sr.upf
Cl 35.45 Cl.upf
CELL_PARAMETERS angstrom
3.4611 -4.0195 -2.1402
-1.8070 -5.4119 -0.4014
-1.0919 -2.2773 -5.1320
ATOMIC_POSITIONS crystal
I 0.5000 0.5000 0.5000
Sr 0.2500 0.2500 0.2500
Sr 0.7500 0.7500 0.7500
Cl 0.0000 0.0000 0.0000

! SrICl | the Alexandria database | PBE | relaxed; values from VASP
! distance to the lowest polymorph of the same formula	0.22	eV/f.u.
! SG	Imm2 (44)
! energy relative to the elements, uncorrected	-6.0	eV per formula unit
&SYSTEM
  ibrav = 0, nat = 3, ntyp = 3
/
ATOMIC_SPECIES
Sr 87.62 Sr.upf
I 126.90 I.upf
Cl 35.45 Cl.upf
CELL_PARAMETERS angstrom
-3.1076 -2.6450 2.5920
-4.0397 -2.4360 -2.8207
0.6313 -5.4518 -0.2980
ATOMIC_POSITIONS crystal
Sr 0.9685 0.0315 0.0315
I 0.7709 0.7291 0.7291
Cl 0.2606 0.2394 0.2394

! SrICl2 | the Alexandria database | PBE | relaxed; values from VASP
! distance to the lowest polymorph of the same formula	1.42	eV/f.u.
! SG	I-42d (122)
! energy relative to the elements, uncorrected	-5.8	eV per formula unit
&SYSTEM
  ibrav = 0, nat = 8, ntyp = 3
/
ATOMIC_SPECIES
I 126.90 I.upf
Sr 87.62 Sr.upf
Cl 35.45 Cl.upf
CELL_PARAMETERS angstrom
9.1662 0.0000 0.0000
0.0000 9.1662 0.0000
4.5831 4.5831 3.5787
ATOMIC_POSITIONS crystal
I 0.0000 0.0000 0.0000
I 0.7500 0.2500 0.5000
Sr 0.5000 0.5000 0.0000
Sr 0.2500 0.7500 0.5000
Cl 0.5305 0.1250 0.2500
Cl 0.2195 0.6250 0.2500
Cl 0.3750 0.4695 0.7500
Cl 0.8750 0.7805 0.7500

! SrICl | the Alexandria database | PBE | relaxed; values from VASP
! distance to the lowest polymorph of the same formula	0.01	eV/f.u.
! SG	Pnma (62)
! energy relative to the elements, uncorrected	-6.2	eV per formula unit
&SYSTEM
  ibrav = 0, nat = 12, ntyp = 3
/
ATOMIC_SPECIES
Sr 87.62 Sr.upf
I 126.90 I.upf
Cl 35.45 Cl.upf
CELL_PARAMETERS angstrom
4.7699 0.0000 0.0000
0.0000 8.3618 0.0000
0.0000 0.0000 9.6109
ATOMIC_POSITIONS crystal
Sr 0.2500 0.7131 0.6191
Sr 0.7500 0.2869 0.3809
Sr 0.7500 0.7869 0.1191
Sr 0.2500 0.2131 0.8809
I 0.2500 0.4748 0.1688
I 0.7500 0.5252 0.8312
I 0.7500 0.0252 0.6688
I 0.2500 0.9748 0.3312
Cl 0.2500 0.8565 0.9362
Cl 0.7500 0.1435 0.0638
Cl 0.7500 0.6435 0.4362
Cl 0.2500 0.3565 0.5638

! SrI2Cl6 | the Alexandria database | PBE | relaxed; values from VASP
! SG	C2/c (15)
! energy relative to the elements, uncorrected	-7.4	eV per formula unit
&SYSTEM
  ibrav = 0, nat = 18, ntyp = 3
/
ATOMIC_SPECIES
Sr 87.62 Sr.upf
I 126.90 I.upf
Cl 35.45 Cl.upf
CELL_PARAMETERS angstrom
-1.8342 0.1427 -7.0631
-10.2968 1.4397 0.0208
-2.6679 9.8882 -1.7897
ATOMIC_POSITIONS crystal
Sr 0.2500 0.9055 0.0945
Sr 0.7500 0.0945 0.9055
I 0.1949 0.4668 0.7881
I 0.3051 0.2119 0.5332
I 0.8051 0.5332 0.2119
I 0.6949 0.7881 0.4668
Cl 0.3855 0.6999 0.5377
Cl 0.1145 0.4623 0.3001
Cl 0.6145 0.3001 0.4623
Cl 0.8855 0.5377 0.6999
Cl 0.9796 0.9133 0.3640
Cl 0.5204 0.6360 0.0867
Cl 0.0204 0.0867 0.6360
Cl 0.4796 0.3640 0.9133
Cl 0.9781 0.8140 0.0043
Cl 0.5219 0.9957 0.1860
Cl 0.0219 0.1860 0.9957
Cl 0.4781 0.0043 0.8140

! SrICl2 | the Alexandria database | PBE | relaxed; values from VASP
! distance to the lowest polymorph of the same formula	1.99	eV/f.u.
! SG	Fm-3m (225)
! energy relative to the elements, uncorrected	-5.2	eV per formula unit
&SYSTEM
  ibrav = 0, nat = 4, ntyp = 3
/
ATOMIC_SPECIES
I 126.90 I.upf
Sr 87.62 Sr.upf
Cl 35.45 Cl.upf
CELL_PARAMETERS angstrom
0.0000 3.8816 3.8816
3.8816 0.0000 3.8816
3.8816 3.8816 0.0000
ATOMIC_POSITIONS crystal
I 0.5000 0.5000 0.5000
Sr 0.0000 0.0000 0.0000
Cl 0.2500 0.2500 0.2500
Cl 0.7500 0.7500 0.7500

! SrICl2 | the Alexandria database | PBE | relaxed; values from VASP
! distance to the lowest polymorph of the same formula	0.00	eV/f.u.
! SG	P-1 (2)
! energy relative to the elements, uncorrected	-7.2	eV per formula unit
&SYSTEM
  ibrav = 0, nat = 8, ntyp = 3
/
ATOMIC_SPECIES
Sr 87.62 Sr.upf
I 126.90 I.upf
Cl 35.45 Cl.upf
CELL_PARAMETERS angstrom
-2.5017 -3.4095 -1.7676
2.0412 -4.5803 6.0063
-9.7130 3.8489 0.9019
ATOMIC_POSITIONS crystal
Sr 0.2975 0.8119 0.5094
Sr 0.7580 0.3741 0.5940
I 0.4734 0.7723 0.1506
I 0.5813 0.4139 0.9528
Cl 0.8473 0.5626 0.3984
Cl 0.3316 0.1428 0.4307
Cl 0.2084 0.6233 0.7049
Cl 0.7239 0.0431 0.6727

! SrICl | the Alexandria database | PBE | relaxed; values from VASP
! distance to the lowest polymorph of the same formula	0.03	eV/f.u.
! SG	C2/m (12)
! energy relative to the elements, uncorrected	-6.2	eV per formula unit
&SYSTEM
  ibrav = 0, nat = 6, ntyp = 3
/
ATOMIC_SPECIES
Sr 87.62 Sr.upf
I 126.90 I.upf
Cl 35.45 Cl.upf
CELL_PARAMETERS angstrom
4.4776 0.0000 -1.2972
-0.7867 7.5352 -2.7157
-0.1965 0.3394 7.6982
ATOMIC_POSITIONS crystal
Sr 0.2464 0.2609 0.4929
Sr 0.7536 0.7391 0.5071
I 0.8823 0.1580 0.7647
I 0.1177 0.8420 0.2353
Cl 0.3438 0.6377 0.6876
Cl 0.6562 0.3623 0.3124